1.
Crystalline CaNiMoAu2 at its relaxed geometry, computed with PBE-GGA. Values from VASP.

Geometry as Quantum ESPRESSO input:
```
&SYSTEM
  ibrav = 0, nat = 5, ntyp = 4
/
ATOMIC_SPECIES
Ni 58.69 Ni.upf
Ca 40.08 Ca.upf
Au 196.97 Au.upf
Mo 95.94 Mo.upf
CELL_PARAMETERS angstrom
5.0226 0.0000 0.0000
0.0000 4.3802 0.0000
0.0000 0.0000 5.0226
ATOMIC_POSITIONS angstrom
Ni 0.0000 2.1901 0.0000
Ca 0.0000 0.0000 0.0000
Au 2.5113 0.0000 0.0000
Au 0.0000 0.0000 2.5113
Mo 2.5113 2.1901 2.5113
```

Properties
Its symmetry is P4/mmm (123). As for the calculated formation energy: 1.61 eV/atom. Its total energy is -3.426 eV/atom. The total magnetization comes out at 0.179 μB/f.u.



2.
Crystalline CaReMo2Au at its relaxed geometry, computed with PBE-GGA. Values from VASP.

Geometry as Quantum ESPRESSO input:
```
&SYSTEM
  ibrav = 0, nat = 5, ntyp = 4
/
ATOMIC_SPECIES
Re 186.21 Re.upf
Ca 40.08 Ca.upf
Au 196.97 Au.upf
Mo 95.94 Mo.upf
CELL_PARAMETERS angstrom
4.5226 0.0000 0.0000
0.0000 4.8004 0.0000
0.0000 0.0000 4.5226
ATOMIC_POSITIONS angstrom
Re 2.2613 2.4002 2.2613
Ca 0.0000 0.0000 0.0000
Au 0.0000 2.4002 0.0000
Mo 2.2613 0.0000 0.0000
Mo 0.0000 0.0000 2.2613
```

Properties
Its symmetry is P4/mmm (123). As for the calculated formation energy: 2.75 eV/atom. Its total energy is -5.127 eV/atom. The total magnetization comes out at 0.004 μB/f.u.



3.
Crystalline CaVMo2Au at its relaxed geometry, computed with PBE-GGA. Values from VASP.

Geometry as Quantum ESPRESSO input:
```
&SYSTEM
  ibrav = 0, nat = 5, ntyp = 4
/
ATOMIC_SPECIES
Ca 40.08 Ca.upf
Mo 95.94 Mo.upf
Au 196.97 Au.upf
V 50.94 V.upf
CELL_PARAMETERS angstrom
4.5853 0.0000 0.0000
0.0000 4.8865 0.0000
0.0000 0.0000 4.5853
ATOMIC_POSITIONS angstrom
Ca 0.0000 0.0000 0.0000
Mo 0.0000 0.0000 2.2927
Au 0.0000 2.4432 0.0000
Mo 2.2927 0.0000 0.0000
V 2.2927 2.4432 2.2927
```

Properties
Its symmetry is P4/mmm (123). As for the calculated formation energy: 2.44 eV/atom. Its total energy is -4.775 eV/atom. The total magnetization comes out at 0.011 μB/f.u.



4.
Crystalline CaZnMoAu2 at its relaxed geometry, computed with PBE-GGA. Values from VASP.

Geometry as Quantum ESPRESSO input:
```
&SYSTEM
  ibrav = 0, nat = 5, ntyp = 4
/
ATOMIC_SPECIES
Au 196.97 Au.upf
Ca 40.08 Ca.upf
Mo 95.94 Mo.upf
Zn 65.41 Zn.upf
CELL_PARAMETERS angstrom
4.8546 0.0000 0.0000
0.0000 5.0855 0.0000
0.0000 0.0000 4.8546
ATOMIC_POSITIONS angstrom
Au 2.4273 0.0000 0.0000
Ca 0.0000 2.5428 0.0000
Au 0.0000 0.0000 2.4273
Mo 2.4273 2.5428 2.4273
Zn 0.0000 0.0000 0.0000
```

Properties
Its symmetry is P4/mmm (123). As for the calculated formation energy: 0.79 eV/atom. Its total energy is -3.345 eV/atom. The total magnetization comes out at 3.928 μB/f.u.



5.
Crystalline CaAuN2 at its relaxed geometry, computed with PBE-GGA. Values from VASP.

Geometry as Quantum ESPRESSO input:
```
&SYSTEM
  ibrav = 0, nat = 4, ntyp = 3
/
ATOMIC_SPECIES
Ca 40.08 Ca.upf
N 14.01 N.upf
Au 196.97 Au.upf
CELL_PARAMETERS angstrom
0.0000 2.9727 2.9727
2.9727 0.0000 2.9727
2.9727 2.9727 0.0000
ATOMIC_POSITIONS angstrom
Ca 0.0000 0.0000 0.0000
N 1.4864 1.4864 1.4864
Au 2.9727 2.9727 2.9727
N 4.4591 4.4591 4.4591
```

Properties
Its symmetry is Fm-3m (225). Its total energy is -4.606 eV/atom. Its energy relative to the elements, uncorrected is 20.21 kcal/mol of atoms. The total magnetization comes out at 1.822 μB/f.u.



6.
Crystalline Ca5Au2N4 at its relaxed geometry, computed with PBE-GGA. Values from VASP.

Geometry as Quantum ESPRESSO input:
```
&SYSTEM
  ibrav = 0, nat = 44, ntyp = 3
/
ATOMIC_SPECIES
N 14.01 N.upf
Ca 40.08 Ca.upf
Au 196.97 Au.upf
CELL_PARAMETERS angstrom
-7.4777 2.6999 -1.0289
-2.8889 -7.0322 2.5430
-0.0757 4.5096 12.3845
ATOMIC_POSITIONS angstrom
N -6.1408 2.6396 11.6941
Ca -5.4072 0.8482 5.4758
N -2.6677 -0.8111 8.6267
Ca -2.6395 1.7643 8.1981
Ca -4.7694 4.7477 11.0733
Au -2.4570 -0.5333 10.6995
Ca -7.3166 3.4263 4.5254
Ca -5.6729 -4.5704 2.8253
Au -7.9854 0.7106 3.1992
N -5.2033 1.6247 7.7243
Au -5.7288 -1.9006 11.1773
Ca -4.4805 1.0573 12.4189
Ca -7.8029 -1.5870 5.7005
Ca -6.7121 2.1825 0.3600
Ca -2.4122 -3.8590 2.5862
Ca -5.0351 -0.6709 8.4228
Au -4.7135 2.0779 2.7213
N -4.3015 -2.4623 2.2045
N -7.7747 0.9884 5.2719
N -2.8945 -4.0992 7.1543
Ca -5.4413 -3.6286 7.1058
Ca -7.7487 2.0063 7.4313
N -5.2391 -1.4474 6.1744
Ca -7.8408 0.6678 11.8927
N -8.1559 0.4496 1.1206
N -5.4947 -3.0198 9.4137
N -5.9228 -0.7647 12.9351
Au -5.6632 2.1133 9.7161
N -4.5196 0.9420 0.9635
Ca -3.7303 -2.0052 13.5387
N -2.2865 -0.2723 12.7780
N -4.9477 3.1971 4.4849
Au -4.7792 -1.9360 4.1825
Ca -2.6016 -0.4905 2.0059
Au -3.3309 -5.0076 5.3098
Ca -3.1257 -3.2490 9.3732
Au -7.1115 5.1849 8.5888
N -6.6573 6.0555 10.4472
N -3.7851 -5.8782 3.4515
Ca -8.0302 4.0364 11.3124
Ca -5.9619 -0.8800 1.4797
N -7.5479 4.2765 6.7443
Ca -5.0010 3.8059 6.7928
Ca -2.6937 -1.8290 6.4673
```

Properties
Its symmetry is P4/ncc (130). Its total energy is -5.222 eV/atom. Its energy relative to the elements, uncorrected is -15.90 kcal/mol of atoms. The total magnetization comes out at 0.000 μB/f.u.



7.
Crystalline Ca8Au2N3 at its relaxed geometry, computed with PBE-GGA. Values from VASP.

Geometry as Quantum ESPRESSO input:
```
&SYSTEM
  ibrav = 0, nat = 13, ntyp = 3
/
ATOMIC_SPECIES
Ca 40.08 Ca.upf
N 14.01 N.upf
Au 196.97 Au.upf
CELL_PARAMETERS angstrom
-2.0082 -3.8980 4.6787
-5.3965 -2.5138 -4.4106
7.5278 -2.1929 -1.7376
ATOMIC_POSITIONS angstrom
Ca 1.1894 -5.8457 -1.5250
N -4.0299 -1.8772 -3.2936
N -1.3667 -0.6366 -1.1170
Au -1.7851 -5.4767 -0.9175
Ca 4.1391 -4.4717 0.8858
Au 1.9082 -3.1279 -0.5520
Ca -4.0160 -4.1329 -2.3554
Ca 0.9954 -4.4434 -4.9085
Ca -0.8724 -4.1612 3.4390
Ca -1.0663 -2.7589 0.0554
Ca 3.7354 -2.8962 -2.9197
N -1.0041 -1.9490 2.3394
Ca -3.6124 -5.7084 1.4502
```

Properties
Its symmetry is C2/m (12). Its total energy is -4.380 eV/atom. Its energy relative to the elements, uncorrected is -16.68 kcal/mol of atoms. The total magnetization comes out at 0.000 μB/f.u.



8.
Crystalline Ca4Au2N at its relaxed geometry, computed with PBE-GGA. Values from VASP.

Geometry as Quantum ESPRESSO input:
```
&SYSTEM
  ibrav = 0, nat = 7, ntyp = 3
/
ATOMIC_SPECIES
Au 196.97 Au.upf
N 14.01 N.upf
Ca 40.08 Ca.upf
CELL_PARAMETERS angstrom
-1.8928 -0.8495 -3.2067
5.5524 -1.1118 -2.9828
-1.0484 -6.1001 4.5093
ATOMIC_POSITIONS angstrom
Au 1.7562 -4.4400 -2.1349
N 0.0000 0.0000 0.0000
Ca 4.1927 -2.7150 -1.7555
Ca 2.4663 -6.3938 0.2381
Ca -1.5815 -5.3464 0.0753
Au 0.8550 -3.6214 0.4547
Ca 0.1449 -1.6676 -1.9183
```

Properties
Its symmetry is C2/m (12). Its total energy is -3.928 eV/atom. Its energy relative to the elements, uncorrected is -15.18 kcal/mol of atoms. The total magnetization comes out at 0.000 μB/f.u.



9.
Crystalline CaAuN2 at its relaxed geometry, computed with PBE-GGA. Values from VASP.

Geometry as Quantum ESPRESSO input:
```
&SYSTEM
  ibrav = 0, nat = 8, ntyp = 3
/
ATOMIC_SPECIES
N 14.01 N.upf
Au 196.97 Au.upf
Ca 40.08 Ca.upf
CELL_PARAMETERS angstrom
4.8911 0.0000 0.0000
0.0000 4.8911 0.0000
2.4456 2.4456 5.5640
ATOMIC_POSITIONS angstrom
N 3.9232 1.2228 1.3910
Au 0.0000 0.0000 0.0000
Ca 2.4456 2.4456 0.0000
Ca 2.4456 4.8911 2.7820
Au 4.8911 2.4456 2.7820
N 3.6684 3.4135 4.1730
N 6.1139 6.3687 4.1730
N 0.9680 3.6684 1.3910
```

Properties
Its symmetry is I-42d (122). Its total energy is -4.871 eV/atom. Its energy relative to the elements, uncorrected is 14.09 kcal/mol of atoms. The total magnetization comes out at 0.000 μB/f.u.



10.
Crystalline Ca12Au5N2 at its relaxed geometry, computed with PBE-GGA. Values from VASP.

Geometry as Quantum ESPRESSO input:
```
&SYSTEM
  ibrav = 0, nat = 19, ntyp = 3
/
ATOMIC_SPECIES
Au 196.97 Au.upf
Ca 40.08 Ca.upf
N 14.01 N.upf
CELL_PARAMETERS angstrom
-5.3814 -5.0631 1.5601
4.0931 -1.1497 -7.8898
5.5607 -3.9896 6.2332
ATOMIC_POSITIONS angstrom
Au 2.7803 -1.9948 3.1166
Ca 4.7145 -3.0288 -2.7307
Ca 2.2558 -4.6352 1.8520
Au 4.4511 -4.8283 -0.3162
N -4.0641 -3.8238 1.1782
N -1.3173 -1.2394 0.3819
Au 1.7531 -2.9054 -3.3818
Au 2.5193 -7.2971 3.2853
Ca 4.5888 -3.2992 5.1214
Ca -3.1124 -5.2323 -0.5670
Ca 2.4184 -4.4091 -5.9675
Ca 1.8540 -5.7933 5.8709
Ca 4.7724 -7.4280 1.2278
Ca 7.3848 -4.9701 0.4704
Ca 2.0166 -5.5672 -1.9486
Ca -0.3164 -6.9032 -5.2180
Ca -0.5000 -2.7744 -1.3244
Au -0.1787 -5.3741 0.2196
Ca -0.4421 -7.1736 2.6341
```

Properties
Its symmetry is C2/m (12). Its total energy is -3.660 eV/atom. Its energy relative to the elements, uncorrected is -15.15 kcal/mol of atoms. The total magnetization comes out at 0.000 μB/f.u.



11.
Crystalline Ca6AuN2 at its relaxed geometry, computed with PBE-GGA. Values from VASP.

Geometry as Quantum ESPRESSO input:
```
&SYSTEM
  ibrav = 0, nat = 9, ntyp = 3
/
ATOMIC_SPECIES
Ca 40.08 Ca.upf
N 14.01 N.upf
Au 196.97 Au.upf
CELL_PARAMETERS angstrom
-0.0990 3.8125 2.4902
-1.4691 -5.5411 4.2594
8.9296 0.0427 0.2894
ATOMIC_POSITIONS angstrom
Ca 2.4316 -2.5758 4.0402
Ca 5.6606 -0.9999 5.9212
N 0.6758 -1.7861 2.7613
Ca 0.0871 -0.2226 4.5097
Au 4.4648 0.0214 0.1447
N 6.6857 0.1002 4.2777
Ca 4.9299 0.8900 2.9989
Ca 7.2744 -1.4633 2.5294
Ca 1.7009 -0.6860 1.1179
```

Properties
Its symmetry is C2/m (12). Its total energy is -4.142 eV/atom. Its energy relative to the elements, uncorrected is -13.69 kcal/mol of atoms. The total magnetization comes out at 0.000 μB/f.u.



12.
Crystalline CaAuN2 at its relaxed geometry, computed with PBE-GGA. Values from VASP.

Geometry as Quantum ESPRESSO input:
```
&SYSTEM
  ibrav = 0, nat = 4, ntyp = 3
/
ATOMIC_SPECIES
N 14.01 N.upf
Ca 40.08 Ca.upf
Au 196.97 Au.upf
CELL_PARAMETERS angstrom
1.9827 0.0000 6.4246
-0.9914 1.7171 6.4246
-0.9914 -1.7171 6.4246
ATOMIC_POSITIONS angstrom
N 0.0000 0.0000 2.2882
N 0.0000 0.0000 16.9857
Ca 0.0000 0.0000 0.0000
Au 0.0000 0.0000 9.6369
```

Properties
Its symmetry is R-3m (166). Its total energy is -4.470 eV/atom. Its energy relative to the elements, uncorrected is 23.35 kcal/mol of atoms. The total magnetization comes out at 0.000 μB/f.u.